# HgB2OF

A relaxed HgB2OF crystal (GGA-PBEsol, Alexandria via LeMat-Bulk).

Calculated values
The raw formation energy is 1.49 eV per atom.

Cell lengths 4.309, 4.309, 4.101 Å; angles 90.00, 90.00, 90.00 degrees
Positions (direct):
Hg 0.000 0.000 0.000
B 0.000 0.500 0.000
B 0.500 0.000 0.000
O 0.000 0.000 0.500
F 0.500 0.500 0.500



# ScHg2BF

A relaxed ScHg2BF crystal (GGA-PBEsol, Alexandria via LeMat-Bulk).

Calculated values
The raw formation energy is 0.13 eV per atom.

Cell lengths 4.986, 4.986, 3.994 Å; angles 90.00, 90.00, 90.00 degrees
Positions (direct):
Sc 0.000 0.000 0.000
Hg 0.000 0.500 0.500
Hg 0.500 0.000 0.500
B 0.500 0.500 0.000
F 0.000 0.000 0.500



# B2IF

A relaxed B2IF crystal (GGA-PBEsol, Alexandria via LeMat-Bulk).

Calculated values
The raw formation energy is 0.77 eV per atom.

Cell lengths 8.400, 8.400, 8.400 Å; angles 154.35, 154.35, 36.59 degrees
Positions (direct):
B 0.000 0.000 0.000
B 0.000 0.000 0.500
B 0.000 0.500 0.000
B 0.500 0.000 0.500
I 0.375 0.625 0.750
I 0.625 0.375 0.250
F 0.125 0.875 0.250
F 0.875 0.125 0.750



# BIN2F

A relaxed BIN2F crystal (GGA-PBEsol, Alexandria via LeMat-Bulk).

Calculated values
The raw formation energy is 0.91 eV per atom.

Cell lengths 3.237, 3.237, 6.779 Å; angles 90.00, 90.00, 90.00 degrees
Positions (direct):
B 0.000 0.000 0.000
I 0.000 0.000 0.500
N 0.000 0.500 0.000
N 0.500 0.000 0.000
F 0.500 0.500 0.500



# BIO2F

A relaxed BIO2F crystal (GGA-PBEsol, Alexandria via LeMat-Bulk).

Calculated values
The raw formation energy is -0.29 eV per atom.

Cell lengths 3.233, 3.233, 6.342 Å; angles 90.00, 90.00, 90.00 degrees
Positions (direct):
B 0.000 0.000 0.000
I 0.000 0.000 0.500
O 0.000 0.500 0.000
O 0.500 0.000 0.000
F 0.500 0.500 0.500



# InBF2

A relaxed InBF2 crystal (GGA-PBEsol, Alexandria via LeMat-Bulk).

Calculated values
The raw formation energy is -0.42 eV per atom.

Cell lengths 5.719, 5.719, 5.719 Å; angles 124.10, 124.10, 83.03 degrees
Positions (direct):
In 0.375 0.625 0.750
In 0.625 0.375 0.250
B 0.125 0.875 0.250
B 0.875 0.125 0.750
F 0.000 0.000 0.000
F 0.000 0.000 0.500
F 0.000 0.500 0.000
F 0.500 0.000 0.500



# InTc2BF

A relaxed InTc2BF crystal (GGA-PBEsol, Alexandria via LeMat-Bulk).

Calculated values
The raw formation energy is 1.07 eV per atom.

Cell lengths 4.044, 4.044, 4.231 Å; angles 90.00, 90.00, 90.00 degrees
Positions (direct):
In 0.000 0.000 0.000
Tc 0.000 0.500 0.500
Tc 0.500 0.000 0.500
B 0.500 0.500 0.000
F 0.500 0.500 0.500



# B2IrF

A relaxed B2IrF crystal (GGA-PBEsol, Alexandria via LeMat-Bulk).

Calculated values
The raw formation energy is 0.88 eV per atom.

Cell lengths 3.785, 3.785, 3.785 Å; angles 60.00, 60.00, 60.00 degrees
Positions (direct):
B 0.250 0.250 0.250
B 0.750 0.750 0.750
Ir 0.000 0.000 0.000
F 0.500 0.500 0.500



# BIrOF2

A relaxed BIrOF2 crystal (GGA-PBEsol, Alexandria via LeMat-Bulk).

Calculated values
The calculation puts the energy above the most stable polymorph in this dataset at 0 meV per atom. The raw formation energy is -0.51 eV per atom.

Cell lengths 4.469, 4.469, 2.558 Å; angles 90.00, 90.00, 90.00 degrees
Positions (direct):
B 0.000 0.000 0.000
Ir 0.500 0.500 0.500
O 0.000 0.000 0.500
F 0.000 0.500 0.000
F 0.500 0.000 0.000



# BIrOF2

A relaxed BIrOF2 crystal (GGA-PBEsol, Alexandria via LeMat-Bulk).

Calculated values
The calculation puts the energy above the most stable polymorph in this dataset at 769 meV per atom. The raw formation energy is 0.26 eV per atom.

Cell lengths 4.300, 4.300, 3.665 Å; angles 90.00, 90.00, 90.00 degrees
Positions (direct):
B 0.000 0.000 0.000
Ir 0.500 0.500 0.500
O 0.500 0.500 0.000
F 0.000 0.500 0.500
F 0.500 0.000 0.500



# BIr2PdF

A relaxed BIr2PdF crystal (GGA-PBEsol, Alexandria via LeMat-Bulk).

Calculated values
The raw formation energy is 0.39 eV per atom.

Cell lengths 4.107, 4.107, 3.728 Å; angles 90.00, 90.00, 90.00 degrees
Positions (direct):
B 0.000 0.000 0.000
Ir 0.000 0.500 0.000
Ir 0.500 0.000 0.000
Pd 0.500 0.500 0.500
F 0.000 0.000 0.500



# KBSb2F

A relaxed KBSb2F crystal (GGA-PBEsol, Alexandria via LeMat-Bulk).

Calculated values
The raw formation energy is 1.20 eV per atom.

Cell lengths 5.840, 5.840, 4.245 Å; angles 90.00, 90.00, 90.00 degrees
Positions (direct):
K 0.000 0.000 0.000
B 0.500 0.500 0.500
Sb 0.000 0.500 0.000
Sb 0.500 0.000 0.000
F 0.000 0.000 0.500



Look up the raw formation energy of the seventh one. 1.07 eV per atom



Copy entry 2 word for word.
# ScHg2BF

A relaxed ScHg2BF crystal (GGA-PBEsol, Alexandria via LeMat-Bulk).

Calculated values
The raw formation energy is 0.13 eV per atom.

Cell lengths 4.986, 4.986, 3.994 Å; angles 90.00, 90.00, 90.00 degrees
Positions (direct):
Sc 0.000 0.000 0.000
Hg 0.000 0.500 0.500
Hg 0.500 0.000 0.500
B 0.500 0.500 0.000
F 0.000 0.000 0.500



Which of these has the lowest raw formation energy? number 9